1.
An optimized crystal structure of Rb3CaY2S6. Source: Alexandria, functional PBE.

For the total DFT energy (no corrections), the calculation gives -125.15 eV per cell.

The structure belongs to space group C2/m (No. 12); the cell edges are 7.135, 12.358 and 8.046 Å and the angles 90.00°, 107.19° and 90.00°. The distinct sites, in fractional coordinates, are Rb at (0.000, 0.000, 0.000), Rb at (0.000, 0.336, 0.000), Ca at (0.000, 0.500, 0.500), Y at (0.000, 0.167, 0.500), S at (0.221, 0.000, 0.693) and S at (0.237, 0.328, 0.694).

2.
An optimized crystal structure of RbCaZnS2. Source: Alexandria, functional PBE.

For the total DFT energy (no corrections), the calculation gives -34.93 eV per cell.

The structure belongs to space group P2/c (No. 13); the cell edges are 7.587, 5.086 and 8.151 Å and the angles 90.00°, 100.03° and 90.00°. The distinct sites, in fractional coordinates, are Rb at (0.000, 0.170, 0.250), Ca at (0.500, 0.492, 0.750), Zn at (0.500, 0.000, 0.000) and S at (0.279, 0.314, 0.966).

3.
An optimized crystal structure of RbCa2ZrS. Source: Alexandria, functional PBE.

For the total DFT energy (no corrections), the calculation gives -10.10 eV per cell.

The structure belongs to space group P4/mmm (No. 123); the cell edges are 5.934, 5.934 and 5.070 Å and the angles 90.00°, 90.00° and 90.00°. The distinct sites, in fractional coordinates, are Rb at (0.000, 0.000, 0.000), Ca at (0.000, 0.500, 0.000), Zr at (0.000, 0.000, 0.500) and S at (0.500, 0.500, 0.500).

4.
An optimized crystal structure of RbCaSb2. Source: Alexandria, functional PBE.

For the total DFT energy (no corrections), the calculation gives -50.80 eV per cell. The value obtained for the energy above the most stable polymorph in this dataset is 25.4 kJ per mole of atoms.

The structure belongs to space group I-42d (No. 122); the cell edges are 5.820, 5.820 and 20.867 Å and the angles 90.00°, 90.00° and 90.00°. The distinct sites, in fractional coordinates, are Rb at (0.000, 0.000, 0.000), Ca at (0.000, 0.000, 0.500) and Sb at (0.117, 0.250, 0.625).

Per-record formation energy from raw total energies, eV/f.u.: -20.0 -5.0 7.5 -1.5